The following is a GGA-PBE calculation of an optimized crystal structure of Pt2BrCl, from the Alexandria database.

a b c (Å): 7.643 3.601 5.670
angles (deg): 90.00 106.64 90.00
Positions (direct):
Pt 0.244 0.000 0.266
Pt 0.256 0.500 0.734
Pt 0.744 0.500 0.266
Pt 0.756 0.000 0.734
Br 0.000 0.500 0.000
Br 0.500 0.000 0.000
Cl 0.000 0.000 0.500
Cl 0.500 0.500 0.500

Formation energy without anion corrections = 0.59 eV per atom
Polymorph energy (0 for the lowest one) = 811 meV/atom
E_tot = -0.2431 Ry per atom
D(E_F) = 4.91 states/eV/cell



The following is a GGA-PBE calculation of an optimized crystal structure of Pt2BrCl, from the Alexandria database.

a b c (Å): 6.606 6.606 6.606
angles (deg): 90.00 90.00 90.00
Positions (direct):
Pt 0.250 0.250 0.250
Pt 0.250 0.250 0.750
Pt 0.250 0.750 0.250
Pt 0.250 0.750 0.750
Pt 0.750 0.250 0.250
Pt 0.750 0.250 0.750
Pt 0.750 0.750 0.250
Pt 0.750 0.750 0.750
Br 0.000 0.000 0.000
Br 0.000 0.500 0.500
Br 0.500 0.000 0.500
Br 0.500 0.500 0.000
Cl 0.000 0.000 0.500
Cl 0.000 0.500 0.000
Cl 0.500 0.000 0.000
Cl 0.500 0.500 0.500

Formation energy without anion corrections = 0.84 eV per atom
Polymorph energy (0 for the lowest one) = 1059 meV/atom
E_tot = -0.2248 Ry per atom
D(E_F) = 12.64 states/eV/cell



The following is a GGA-PBE calculation of an optimized crystal structure of Pt2BrCl, from the Alexandria database.

a b c (Å): 3.429 3.429 22.131
angles (deg): 90.00 90.00 120.00
Positions (direct):
Pt 0.000 0.000 0.249
Pt 0.000 0.000 0.751
Pt 0.333 0.667 0.418
Pt 0.333 0.667 0.916
Pt 0.667 0.333 0.084
Pt 0.667 0.333 0.582
Br 0.000 0.000 0.500
Br 0.333 0.667 0.167
Br 0.667 0.333 0.833
Cl 0.000 0.000 0.000
Cl 0.333 0.667 0.667
Cl 0.667 0.333 0.333

Formation energy without anion corrections = 0.60 eV per atom
Polymorph energy (0 for the lowest one) = 820 meV/atom
E_tot = -0.2424 Ry per atom
D(E_F) = 8.70 states/eV/cell



The following is a GGA-PBE calculation of an optimized crystal structure of PtBr2Cl, from the Alexandria database.

a b c (Å): 6.895 6.895 6.895
angles (deg): 90.00 90.00 90.00
Positions (direct):
Pt 0.000 0.000 0.000
Pt 0.000 0.500 0.500
Pt 0.500 0.000 0.500
Pt 0.500 0.500 0.000
Br 0.250 0.250 0.250
Br 0.250 0.250 0.750
Br 0.250 0.750 0.250
Br 0.250 0.750 0.750
Br 0.750 0.250 0.250
Br 0.750 0.250 0.750
Br 0.750 0.750 0.250
Br 0.750 0.750 0.750
Cl 0.000 0.000 0.500
Cl 0.000 0.500 0.000
Cl 0.500 0.000 0.000
Cl 0.500 0.500 0.500

Formation energy without anion corrections = 0.74 eV per atom
Polymorph energy (0 for the lowest one) = 971 meV/atom
E_tot = -0.1522 Ry per atom
D(E_F) = 19.86 states/eV/cell



The following is a GGA-PBE calculation of an optimized crystal structure of PtBr2Cl, from the Alexandria database.

a b c (Å): 3.259 3.259 9.263
angles (deg): 90.00 90.00 90.00
Positions (direct):
Pt 0.000 0.000 0.000
Br 0.500 0.500 0.179
Br 0.500 0.500 0.821
Cl 0.000 0.000 0.500

Formation energy without anion corrections = 0.60 eV per atom
Polymorph energy (0 for the lowest one) = 833 meV/atom
E_tot = -0.1624 Ry per atom
D(E_F) = 5.54 states/eV/cell



The following is a GGA-PBE calculation of an optimized crystal structure of PtBr2Cl, from the Alexandria database.

a b c (Å): 3.108 3.108 33.722
angles (deg): 90.00 90.00 120.00
Positions (direct):
Pt 0.000 0.000 0.000
Pt 0.333 0.667 0.667
Pt 0.667 0.333 0.333
Br 0.000 0.000 0.071
Br 0.000 0.000 0.929
Br 0.333 0.667 0.596
Br 0.333 0.667 0.738
Br 0.667 0.333 0.262
Br 0.667 0.333 0.404
Cl 0.000 0.000 0.500
Cl 0.333 0.667 0.167
Cl 0.667 0.333 0.833

Formation energy without anion corrections = 0.33 eV per atom
Polymorph energy (0 for the lowest one) = 563 meV/atom
E_tot = -0.1822 Ry per atom
D(E_F) = 13.57 states/eV/cell



The following is a GGA-PBE calculation of an optimized crystal structure of PtBr3Cl, from the Alexandria database.

a b c (Å): 8.477 8.477 6.452
angles (deg): 103.15 103.15 125.81
Positions (direct):
Pt 0.060 0.940 0.500
Pt 0.940 0.060 0.000
Br 0.048 0.396 0.986
Br 0.147 0.266 0.447
Br 0.266 0.147 0.947
Br 0.396 0.048 0.486
Br 0.731 0.852 0.553
Br 0.852 0.731 0.053
Cl 0.626 0.960 0.018
Cl 0.960 0.626 0.518

Formation energy without anion corrections = -0.26 eV per atom
Polymorph energy (0 for the lowest one) = 0 meV/atom
E_tot = -0.2092 Ry per atom



The following is a GGA-PBE calculation of an optimized crystal structure of PtBr2Cl8, from the Alexandria database.

a b c (Å): 8.522 8.522 7.436
angles (deg): 111.59 111.59 46.78
Positions (direct):
Pt 0.000 0.000 0.000
Br 0.254 0.254 0.453
Br 0.746 0.746 0.547
Cl 0.075 0.075 0.343
Cl 0.140 0.657 0.021
Cl 0.343 0.860 0.979
Cl 0.408 0.408 0.565
Cl 0.592 0.592 0.435
Cl 0.657 0.140 0.021
Cl 0.860 0.343 0.979
Cl 0.925 0.925 0.657

Formation energy without anion corrections = -0.12 eV per atom
E_tot = -0.1700 Ry per atom
D(E_F) = 11.44 states/eV/cell